{
  "formula": "TaSi2Ni2",
  "functional": "GGA-PBE",
  "state": "relaxed",
  "cell": [[6.8807, 0.0000, 0.0000], [0.0000, 6.8807, 0.0000], [0.0000, 0.0000, 2.6895]],
  "species": ["Ta", "Ta", "Si", "Si", "Si", "Si", "Ni", "Ni", "Ni", "Ni"],
  "fractional_positions": [[0.0000, 0.0000, 0.0000], [0.5000, 0.5000, 0.0000], [0.1451, 0.3549, 0.0000], [0.3549, 0.8549, 0.0000], [0.6451, 0.1451, 0.0000], [0.8549, 0.6451, 0.0000], [0.1456, 0.6456, 0.5000], [0.3544, 0.1456, 0.5000], [0.6456, 0.8544, 0.5000], [0.8544, 0.3544, 0.5000]],
  "mass_density_g_cm3": 9.2,
  "e_form_raw_ev_per_atom": -0.419
}


{
  "formula": "CsSi3Se",
  "functional": "GGA-PBE",
  "state": "relaxed",
  "cell": [[5.6171, 0.0000, 0.0000], [0.0000, 5.6171, 0.0000], [0.0000, 0.0000, 5.6171]],
  "species": ["Cs", "Si", "Si", "Si", "Se"],
  "fractional_positions": [[0.0000, 0.0000, 0.0000], [0.0000, 0.0000, 0.5000], [0.0000, 0.5000, 0.0000], [0.5000, 0.0000, 0.0000], [0.5000, 0.5000, 0.5000]],
  "mass_density_g_cm3": 2.8,
  "relative_energy_mev_per_atom": 1472,
  "e_form_raw_ev_per_atom": 2.352
}


{
  "formula": "Sm2PuNpAs4",
  "functional": "GGA-PBE",
  "state": "relaxed",
  "cell": [[7.2112, 0.0000, 0.0000], [0.0000, 4.1658, 0.0000], [-2.4055, 0.0000, 6.8080]],
  "species": ["Sm", "Sm", "Pu", "Np", "As", "As", "As", "As"],
  "fractional_positions": [[0.0000, 0.0000, 0.0000], [0.0000, 0.5000, 0.5000], [0.5000, 0.0000, 0.5000], [0.5000, 0.5000, 0.0000], [0.2592, 0.0000, 0.7547], [0.2593, 0.5000, 0.2511], [0.7408, 0.0000, 0.2453], [0.7407, 0.5000, 0.7489]],
  "mass_density_g_cm3": 8.8
}


{
  "formula": "Sr2CaCr",
  "functional": "GGA-PBE",
  "state": "relaxed",
  "cell": [[-2.6824, 2.6824, 5.3877], [2.6824, -2.6824, 5.3877], [2.6824, 2.6824, -5.3877]],
  "species": ["Sr", "Sr", "Ca", "Cr"],
  "fractional_positions": [[0.0000, 0.0000, 0.0000], [0.7500, 0.2500, 0.5000], [0.2500, 0.7500, 0.5000], [0.5000, 0.5000, 0.0000]],
  "mass_density_g_cm3": 2.9,
  "relative_energy_mev_per_atom": 70
}


| no. | density of states at the Fermi level (states/eV/cell) | raw total energy (eV/cell) |
| --- | --- | --- |
| 1 | 6.892 | -72.72 |
| 2 | 10.960 | -8.85 |
| 3 | 21.370 | -64.81 |
| 4 | 3.433 | -13.11 |